# 1
# TiCrHg2 | Alexandria | GGA-PBE | relaxed
data_TiCrHg2
_chemical_formula_sum 'Ti4 Cr4 Hg8'
_space_group_name_H-M_alt 'I -4 2 d'
_space_group_IT_number 122
_space_group_name_Hall 'I -4 2bw'
_cell_length_a 4.1146
_cell_length_b 4.1146
_cell_length_c 19.9526
_cell_angle_alpha 90.00
_cell_angle_beta 90.00
_cell_angle_gamma 90.00
loop_
_atom_site_label
_atom_site_type_symbol
_atom_site_fract_x
_atom_site_fract_y
_atom_site_fract_z
Ti1 Ti 0.0000 0.0000 0.0000
Cr1 Cr 0.0000 0.0000 0.5000
Hg1 Hg 0.2456 0.2500 0.6250
# formation energy = 232 kJ/mol of formula units
# relative energy among the computed polymorphs = 359 meV per atom

# 2
# TiCrHg3 | Alexandria | GGA-PBE | relaxed
data_TiCrHg3
_chemical_formula_sum 'Ti1 Cr1 Hg3'
_space_group_name_H-M_alt 'P m -3 m'
_space_group_IT_number 221
_space_group_name_Hall '-P 4 2 3'
_cell_length_a 5.2982
_cell_length_b 5.2982
_cell_length_c 5.2982
_cell_angle_alpha 90.00
_cell_angle_beta 90.00
_cell_angle_gamma 90.00
loop_
_atom_site_label
_atom_site_type_symbol
_atom_site_fract_x
_atom_site_fract_y
_atom_site_fract_z
Ti1 Ti 0.0000 0.0000 0.0000
Cr1 Cr 0.5000 0.5000 0.5000
Hg1 Hg 0.0000 0.0000 0.5000
# formation energy = 445 kJ/mol of formula units
# relative energy among the computed polymorphs = 0 meV per atom

# 3
# TiCrHg2 | Alexandria | GGA-PBE | relaxed
data_TiCrHg2
_chemical_formula_sum 'Ti4 Cr4 Hg8'
_space_group_name_H-M_alt 'F m -3 m'
_space_group_IT_number 225
_space_group_name_Hall '-F 4 2 3'
_cell_length_a 6.6769
_cell_length_b 6.6769
_cell_length_c 6.6769
_cell_angle_alpha 90.00
_cell_angle_beta 90.00
_cell_angle_gamma 90.00
loop_
_atom_site_label
_atom_site_type_symbol
_atom_site_fract_x
_atom_site_fract_y
_atom_site_fract_z
Ti1 Ti 0.0000 0.0000 0.0000
Cr1 Cr 0.0000 0.0000 0.5000
Hg1 Hg 0.2500 0.2500 0.2500
# formation energy = 94 kJ/mol of formula units
# relative energy among the computed polymorphs = 0 meV per atom

# 4
# TiCr3Hg | Alexandria | GGA-PBE | relaxed
data_TiCr3Hg
_chemical_formula_sum 'Ti1 Cr3 Hg1'
_space_group_name_H-M_alt 'P m -3 m'
_space_group_IT_number 221
_space_group_name_Hall '-P 4 2 3'
_cell_length_a 4.3374
_cell_length_b 4.3374
_cell_length_c 4.3374
_cell_angle_alpha 90.00
_cell_angle_beta 90.00
_cell_angle_gamma 90.00
loop_
_atom_site_label
_atom_site_type_symbol
_atom_site_fract_x
_atom_site_fract_y
_atom_site_fract_z
Ti1 Ti 0.0000 0.0000 0.0000
Cr1 Cr 0.0000 0.0000 0.5000
Hg1 Hg 0.5000 0.5000 0.5000
# formation energy = 696 kJ/mol of formula units
# relative energy among the computed polymorphs = 0 meV per atom

# 5
# TlCrHg2 | Alexandria | GGA-PBE | relaxed
data_TlCrHg2
_chemical_formula_sum 'Tl2 Cr2 Hg4'
_space_group_name_H-M_alt 'I m m 2'
_space_group_IT_number 44
_cell_length_a 3.2392
_cell_length_b 4.7231
_cell_length_c 12.9418
_cell_angle_alpha 90.00
_cell_angle_beta 90.00
_cell_angle_gamma 90.00
loop_
_space_group_symop_operation_xyz
'x,y,z'
'-x,-y,z'
'-x,y,z'
'x,-y,z'
'x+1/2,y+1/2,z+1/2'
'-x+1/2,-y+1/2,z+1/2'
'-x+1/2,y+1/2,z+1/2'
'x+1/2,-y+1/2,z+1/2'
loop_
_atom_site_label
_atom_site_type_symbol
_atom_site_fract_x
_atom_site_fract_y
_atom_site_fract_z
Tl1 Tl 0.0000 0.0000 0.0000
Cr1 Cr 0.0000 0.5000 0.6978
Hg1 Hg 0.0000 0.0000 0.3809
Hg2 Hg 0.0000 0.5000 0.1954
# formation energy = 126 kJ/mol of formula units

# 6
# Tl2CrHg | Alexandria | GGA-PBE | relaxed
data_Tl2CrHg
_chemical_formula_sum 'Tl4 Cr2 Hg2'
_space_group_name_H-M_alt 'I m m m'
_space_group_IT_number 71
_space_group_name_Hall '-I 2 2'
_cell_length_a 3.1515
_cell_length_b 4.7644
_cell_length_c 14.0657
_cell_angle_alpha 90.00
_cell_angle_beta 90.00
_cell_angle_gamma 90.00
loop_
_atom_site_label
_atom_site_type_symbol
_atom_site_fract_x
_atom_site_fract_y
_atom_site_fract_z
Tl1 Tl 0.0000 0.0000 0.1817
Cr1 Cr 0.0000 0.5000 0.5000
Hg1 Hg 0.0000 0.5000 0.0000
# formation energy = 135 kJ/mol of formula units
# relative energy among the computed polymorphs = 15 meV per atom